## RbMn3Be (PBE-GGA)

Data for a relaxed RbMn3Be crystal.

Unit cell a=4.7127 b=4.7127 c=4.7127 alpha=90.00 beta=90.00 gamma=90.00
Space group Pm-3m (No. 221)
One atom of each set of equivalent atoms:
Rb 0.0000 0.0000 0.0000 x1
Mn 0.0000 0.5000 0.5000 x3
Be 0.5000 0.5000 0.5000 x1

## Properties
- calculated formation energy (meV per atom) = 1053.5
- distance to the lowest polymorph of the same formula (meV/atom) = 0